Model one:
Compound: LaSi2IrRu
Source: Alexandria
Functional: GGA-PBE
Structure: optimized geometry

symmetry = P4/mmm, No. 123
density of states at the Fermi level = 2.17 states/eV per cell
crystal system = tetragonal

Cell lengths 4.5106, 4.5106, 5.4457 Å; angles 90.00, 90.00, 90.00 degrees
Last column: nearest neighbours and their distance in Å.
Positions (direct):
La (0.0000, 0.0000, 0.0000)  2 Ru 2.72
Si (0.0000, 0.5000, 0.5000)  2 Ru 2.26
Si (0.5000, 0.0000, 0.5000)  2 Ru 2.26
Ir (0.5000, 0.5000, 0.0000)  4 La 3.19, 8 Si 3.54
Ru (0.0000, 0.0000, 0.5000)  4 Si 2.26



Model two:
Compound: LaSi2IrRu
Source: Alexandria
Functional: GGA-PBE
Structure: optimized geometry

symmetry = I-4m2, No. 119
density of states at the Fermi level = 2.69 states/eV per cell
crystal system = tetragonal

Cell lengths 5.8664, 5.8664, 5.8664 Å; angles 138.07, 138.07, 60.79 degrees
Last column: nearest neighbours and their distance in Å.
Positions (direct):
La (0.0000, 0.0000, 0.0000)  8 Si 3.26, 4 Ru 3.29, 4 Ir 3.29
Si (0.3675, 0.3675, 0.0000)  2 Ru 2.41, 2 Ir 2.41, 1 Si 2.68
Si (0.6325, 0.6325, 0.0000)  2 Ir 2.41, 2 Ru 2.41, 1 Si 2.68
Ir (0.2500, 0.7500, 0.5000)  4 Si 2.41
Ru (0.7500, 0.2500, 0.5000)  4 Si 2.41



model two (1213 meV per atom below the next structure)



Model one:
Compound: LaIrS2
Source: Alexandria
Functional: GGA-PBE
Structure: optimized geometry

symmetry = R-3m, No. 166
density of states at the Fermi level = 3.05 states/eV per cell
crystal system = trigonal

Cell lengths 6.0911, 6.0911, 6.0911 Å; angles 48.51, 48.51, 48.51 degrees
Last column: nearest neighbours and their distance in Å.
Positions (direct):
La (0.0000, 0.0000, 0.0000)  6 S 2.94
Ir (0.5000, 0.5000, 0.5000)  2 S 2.16
S (0.3655, 0.3655, 0.3655)  1 Ir 2.16
S (0.6345, 0.6345, 0.6345)  1 Ir 2.16



Model two:
Compound: LaIrS2
Source: Alexandria
Functional: GGA-PBE
Structure: optimized geometry

symmetry = Fm-3m, No. 225
density of states at the Fermi level = 3.74 states/eV per cell
crystal system = cubic

Cell lengths 4.7647, 4.7647, 4.7647 Å; angles 60.00, 60.00, 60.00 degrees
Last column: nearest neighbours and their distance in Å.
Positions (direct):
La (0.0000, 0.0000, 0.0000)  8 S 2.92
Ir (0.5000, 0.5000, 0.5000)  8 S 2.92
S (0.2500, 0.2500, 0.2500)  4 La 2.92, 4 Ir 2.92
S (0.7500, 0.7500, 0.7500)  4 La 2.92, 4 Ir 2.92



Model three:
Compound: LaIrS2
Source: Alexandria
Functional: GGA-PBE
Structure: optimized geometry

symmetry = R-3m, No. 166
density of states at the Fermi level = 2.28 states/eV per cell
crystal system = trigonal

Cell lengths 8.2255, 8.2255, 8.2255 Å; angles 26.12, 26.12, 26.12 degrees
Last column: nearest neighbours and their distance in Å.
Positions (direct):
La (0.0000, 0.0000, 0.0000)  2 S 2.87
Ir (0.5000, 0.5000, 0.5000)  6 S 2.41
S (0.1204, 0.1204, 0.1204)  3 Ir 2.41
S (0.8796, 0.8796, 0.8796)  3 Ir 2.41



model two (38 meV per atom below the next structure)



Model one:
Compound: LaIrS3
Source: Alexandria
Functional: GGA-PBE
Structure: optimized geometry

symmetry = Pm-3m, No. 221
density of states at the Fermi level = 5.91 states/eV per cell
crystal system = cubic

Cell lengths 4.6936, 4.6936, 4.6936 Å; angles 90.00, 90.00, 90.00 degrees
Last column: nearest neighbours and their distance in Å.
Positions (direct):
La (0.0000, 0.0000, 0.0000)  12 S 3.32
Ir (0.5000, 0.5000, 0.5000)  6 S 2.35
S (0.0000, 0.5000, 0.5000)  2 Ir 2.35
S (0.5000, 0.0000, 0.5000)  2 Ir 2.35
S (0.5000, 0.5000, 0.0000)  2 Ir 2.35



Model two:
Compound: LaIrS3
Source: Alexandria
Functional: GGA-PBE
Structure: optimized geometry

symmetry = Pm-3m, No. 221
density of states at the Fermi level = 4.84 states/eV per cell
crystal system = cubic

Cell lengths 5.4276, 5.4276, 5.4276 Å; angles 90.00, 90.00, 90.00 degrees
Last column: nearest neighbours and their distance in Å.
Positions (direct):
La (0.0000, 0.0000, 0.0000)  6 S 2.71
Ir (0.5000, 0.5000, 0.5000)  12 S 3.84
S (0.0000, 0.0000, 0.5000)  2 La 2.71
S (0.0000, 0.5000, 0.0000)  2 La 2.71
S (0.5000, 0.0000, 0.0000)  2 La 2.71



model one (1639 meV per atom below the next structure)



Model one:
Compound: LaIr3S
Source: Alexandria
Functional: GGA-PBE
Structure: optimized geometry

symmetry = Pm-3m, No. 221
density of states at the Fermi level = 4.96 states/eV per cell
crystal system = cubic

Cell lengths 5.0004, 5.0004, 5.0004 Å; angles 90.00, 90.00, 90.00 degrees
Last column: nearest neighbours and their distance in Å.
Positions (direct):
La (0.0000, 0.0000, 0.0000)  6 Ir 2.50
Ir (0.0000, 0.0000, 0.5000)  2 La 2.50
Ir (0.0000, 0.5000, 0.0000)  2 La 2.50
Ir (0.5000, 0.0000, 0.0000)  2 La 2.50
S (0.5000, 0.5000, 0.5000)  12 Ir 3.54



Model two:
Compound: LaIr3S
Source: Alexandria
Functional: GGA-PBE
Structure: optimized geometry

symmetry = Pm-3m, No. 221
density of states at the Fermi level = 4.83 states/eV per cell
crystal system = cubic

Cell lengths 4.5603, 4.5603, 4.5603 Å; angles 90.00, 90.00, 90.00 degrees
Last column: nearest neighbours and their distance in Å.
Positions (direct):
La (0.0000, 0.0000, 0.0000)  12 Ir 3.22
Ir (0.0000, 0.5000, 0.5000)  2 S 2.28
Ir (0.5000, 0.0000, 0.5000)  2 S 2.28
Ir (0.5000, 0.5000, 0.0000)  2 S 2.28
S (0.5000, 0.5000, 0.5000)  6 Ir 2.28



model two (2314 meV per atom below the next structure)



Model one:
Compound: La4SbIr
Source: Alexandria
Functional: GGA-PBE
Structure: optimized geometry

symmetry = C2/c, No. 15
density of states at the Fermi level = 14.30 states/eV per cell
crystal system = monoclinic

Cell lengths 8.9074, 8.9074, 7.1552 Å; angles 107.06, 107.06, 116.39 degrees
Last column: nearest neighbours and their distance in Å.
Positions (direct):
La (0.0796, 0.6612, 0.8941)  1 Ir 2.86
La (0.1882, 0.2779, 0.7210)  2 Ir 2.85-2.92
La (0.2779, 0.1882, 0.2210)  2 Ir 2.85-2.92
La (0.3388, 0.9204, 0.6059)  1 Ir 2.86
La (0.6612, 0.0796, 0.3941)  1 Ir 2.86
La (0.7221, 0.8118, 0.7790)  2 Ir 2.85-2.92
La (0.8118, 0.7221, 0.2790)  2 Ir 2.85-2.92
La (0.9204, 0.3388, 0.1059)  1 Ir 2.86
Sb (0.3836, 0.6164, 0.2500)  8 La 3.34-3.42
Sb (0.6164, 0.3836, 0.7500)  8 La 3.34-3.42
Ir (0.0736, 0.9264, 0.7500)  6 La 2.85-2.92
Ir (0.9264, 0.0736, 0.2500)  6 La 2.85-2.92



Model two:
Compound: La4SbIr
Source: Alexandria
Functional: GGA-PBE
Structure: optimized geometry

symmetry = F-43m, No. 216
density of states at the Fermi level = 8.86 states/eV per cell
crystal system = cubic

Cell lengths 6.2453, 6.2453, 6.2453 Å; angles 60.00, 60.00, 60.00 degrees
Last column: nearest neighbours and their distance in Å.
Positions (direct):
La (0.1251, 0.1251, 0.1251)  6 La 3.12-3.13
La (0.1251, 0.1251, 0.6246)  6 La 3.12-3.13
La (0.1251, 0.6246, 0.1251)  6 La 3.12-3.13
La (0.6246, 0.1251, 0.1251)  6 La 3.12-3.13
Sb (0.7500, 0.7500, 0.7500)  12 La 3.66, 4 Ir 3.82
Ir (0.5000, 0.5000, 0.5000)  12 La 3.66, 4 Sb 3.82



Model three:
Compound: La4SbIr
Source: Alexandria
Functional: GGA-PBE
Structure: optimized geometry

symmetry = P2_1/m, No. 11
density of states at the Fermi level = 14.33 states/eV per cell
crystal system = monoclinic

Cell lengths 6.5643, 7.0295, 8.3999 Å; angles 90.00, 93.26, 90.00 degrees
Last column: nearest neighbours and their distance in Å.
Positions (direct):
La (0.0938, 0.2500, 0.0809)  1 Ir 2.86
La (0.1546, 0.7500, 0.3846)  1 Ir 2.90
La (0.3979, 0.5061, 0.7831)  2 Ir 2.87-3.03
La (0.3979, 0.9939, 0.7831)  2 Ir 2.87-3.03
La (0.6021, 0.0061, 0.2169)  2 Ir 2.87-3.03
La (0.6021, 0.4939, 0.2169)  2 Ir 2.87-3.03
La (0.8454, 0.2500, 0.6154)  1 Ir 2.90
La (0.9062, 0.7500, 0.9191)  1 Ir 2.86
Sb (0.2963, 0.2500, 0.4517)  8 La 3.32-3.67
Sb (0.7037, 0.7500, 0.5483)  8 La 3.32-3.67
Ir (0.3089, 0.7500, 0.0685)  6 La 2.86-3.03
Ir (0.6911, 0.2500, 0.9315)  6 La 2.86-3.03



model three (48 meV per atom below the next structure)



Model one:
Compound: La2SbIr2
Source: Alexandria
Functional: GGA-PBE
Structure: optimized geometry

symmetry = I4/mmm, No. 139
density of states at the Fermi level = 4.04 states/eV per cell
crystal system = tetragonal

Cell lengths 5.6810, 5.6810, 5.6810 Å; angles 119.48, 119.48, 90.90 degrees
Last column: nearest neighbours and their distance in Å.
Positions (direct):
La (0.2500, 0.7500, 0.5000)  4 Ir 2.95
La (0.7500, 0.2500, 0.5000)  4 Ir 2.95
Sb (0.0000, 0.0000, 0.0000)  2 Ir 2.70
Ir (0.3393, 0.3393, 0.0000)  1 Ir 2.56, 1 Sb 2.70
Ir (0.6607, 0.6607, 0.0000)  1 Ir 2.56, 1 Sb 2.70



Model two:
Compound: La2SbIr2
Source: Alexandria
Functional: GGA-PBE
Structure: optimized geometry

symmetry = P4/mbm, No. 127
density of states at the Fermi level = 8.72 states/eV per cell
crystal system = tetragonal

Cell lengths 7.5681, 7.5681, 4.1832 Å; angles 90.00, 90.00, 90.00 degrees
Last column: nearest neighbours and their distance in Å.
Positions (direct):
La (0.1818, 0.3182, 0.0000)  6 Ir 2.95-3.15
La (0.3182, 0.8182, 0.0000)  6 Ir 2.95-3.15
La (0.6818, 0.1818, 0.0000)  6 Ir 2.95-3.15
La (0.8182, 0.6818, 0.0000)  6 Ir 2.95-3.15
Sb (0.0000, 0.0000, 0.5000)  4 Ir 3.00
Sb (0.5000, 0.5000, 0.5000)  4 Ir 3.00
Ir (0.1236, 0.6236, 0.5000)  1 Ir 2.64, 2 La 2.95
Ir (0.3764, 0.1236, 0.5000)  1 Ir 2.64, 2 La 2.95
Ir (0.6236, 0.8764, 0.5000)  1 Ir 2.64, 2 La 2.95
Ir (0.8764, 0.3764, 0.5000)  1 Ir 2.64, 2 La 2.95



model two (88 meV per atom below the next structure)